CuNi2CBr at its PBEsol-relaxed geometry, computed with meta-GGA SCAN.

Results
DFT total energy	-66.2	eV/cell
energy relative to the elements, uncorrected	2178.0	meV per atom
crystal system	tetragonal

abc: 4.2766 4.2766 4.4205
angles: 90.00 90.00 90.00
Last column: magnetic moment on the atom in μB.
Sites, in units of the cell vectors:
Cu (0.0000, 0.0000, 0.5000)  0.10
Br (0.0000, 0.0000, 0.0000)  0.06
Ni (0.0000, 0.5000, 0.0000)  0.13
Ni (0.5000, 0.0000, 0.0000)  0.13
C (0.5000, 0.5000, 0.5000)  0.73

NbSi3N at its PBEsol-relaxed geometry, computed with meta-GGA SCAN.

Results
DFT total energy	-70.6	eV/cell
energy relative to the elements, uncorrected	371.2	meV per atom
crystal system	cubic

abc: 3.9808 3.9808 3.9808
angles: 90.00 90.00 90.00
Sites, in units of the cell vectors:
Nb (0.5000, 0.5000, 0.5000)
N (0.0000, 0.0000, 0.0000)
Si (0.5000, 0.0000, 0.0000)
Si (0.0000, 0.0000, 0.5000)
Si (0.0000, 0.5000, 0.0000)

Cs3GeSe3 at its PBEsol-relaxed geometry, computed with meta-GGA SCAN.

Results
DFT total energy	-803.7	eV/cell
energy relative to the elements, uncorrected	-1168.9	meV per atom
crystal system	monoclinic

abc: 9.6053 10.5963 10.5963
angles: 98.78 95.38 84.62
Sites, in units of the cell vectors:
Cs (0.2500, 0.4179, 0.4179)
Cs (0.7539, 0.2501, 0.7533)
Cs (0.2539, 0.2467, 0.7499)
Cs (0.7500, 0.9184, 0.9184)
Cs (0.7461, 0.7533, 0.2501)
Cs (0.6207, 0.1616, 0.3440)
Cs (0.1207, 0.6560, 0.8384)
Cs (0.7500, 0.5821, 0.5821)
Cs (0.2461, 0.7499, 0.2467)
Cs (0.2500, 0.0816, 0.0816)
Cs (0.3793, 0.8384, 0.6560)
Cs (0.8793, 0.3440, 0.1616)
Ge (0.9625, 0.9265, 0.5729)
Ge (0.0375, 0.0735, 0.4271)
Ge (0.5375, 0.5729, 0.9265)
Ge (0.4625, 0.4271, 0.0735)
Se (0.0526, 0.7127, 0.5032)
Se (0.7867, 0.5685, 0.9336)
Se (0.2133, 0.4315, 0.0664)
Se (0.9474, 0.2873, 0.4968)
Se (0.7133, 0.9336, 0.5685)
Se (0.2867, 0.0664, 0.4315)
Se (0.0556, 0.9923, 0.7865)
Se (0.4474, 0.5032, 0.7127)
Se (0.5526, 0.4968, 0.2873)
Se (0.4444, 0.7865, 0.9923)
Se (0.5556, 0.2135, 0.0077)
Se (0.9444, 0.0077, 0.2135)

LiCd3B at its PBEsol-relaxed geometry, computed with meta-GGA SCAN.

Results
DFT total energy	-95.4	eV/cell
formation energy	1.13	eV/atom
crystal system	cubic

abc: 4.6657 4.6657 4.6657
angles: 90.00 90.00 90.00
Sites, in units of the cell vectors:
Li (0.0000, 0.0000, 0.0000)
Cd (0.5000, 0.0000, 0.0000)
Cd (0.0000, 0.5000, 0.0000)
Cd (0.0000, 0.0000, 0.5000)
B (0.5000, 0.5000, 0.5000)

LaCo2Cu at its PBEsol-relaxed geometry, computed with meta-GGA SCAN.

Results
DFT total energy	-91.6	eV/cell
formation energy	0.34	eV/atom
crystal system	tetragonal

abc: 3.1445 3.1445 6.3135
angles: 90.00 90.00 90.00
Last column: magnetic moment on the atom in μB.
Sites, in units of the cell vectors:
Cu (0.5000, 0.5000, 0.0000)  0.06
Co (0.0000, 0.0000, 0.8229)  1.62
Co (0.0000, 0.0000, 0.1771)  1.62
La (0.5000, 0.5000, 0.5000)  -0.30

YTaCoCl2 at its PBEsol-relaxed geometry, computed with meta-GGA SCAN.

Results
DFT total energy	-126.2	eV/cell
energy relative to the elements, uncorrected	300.9	meV per atom
crystal system	tetragonal

abc: 4.5051 4.5051 4.7758
angles: 90.00 90.00 90.00
Sites, in units of the cell vectors:
Cl (0.0000, 0.5000, 0.0000)
Cl (0.5000, 0.0000, 0.0000)
Ta (0.0000, 0.0000, 0.5000)
Co (0.0000, 0.0000, 0.0000)
Y (0.5000, 0.5000, 0.5000)

SrZn2Co at its PBEsol-relaxed geometry, computed with meta-GGA SCAN.

Results
DFT total energy	-65.8	eV/cell
formation energy	0.21	eV/atom
crystal system	orthorhombic

abc: 4.3471 4.8470 4.8470
angles: 66.71 63.36 63.36
Last column: magnetic moment on the atom in μB.
Sites, in units of the cell vectors:
Zn (0.0631, 0.9369, 0.9369)  -0.03
Zn (0.7696, 0.7304, 0.7304)  -0.04
Co (0.4181, 0.5819, 0.5819)  1.70
Sr (0.2491, 0.2509, 0.2509)  -0.04

YZn2P2 at its PBEsol-relaxed geometry, computed with meta-GGA SCAN.

Results
DFT total energy	-79.5	eV/cell
formation energy	-0.77	eV/atom
crystal system	trigonal

abc: 4.0305 4.0305 6.3733
angles: 90.00 90.00 120.00
Sites, in units of the cell vectors:
P (0.6667, 0.3333, 0.2622)
P (0.3333, 0.6667, 0.7378)
Zn (0.3333, 0.6667, 0.3523)
Zn (0.6667, 0.3333, 0.6477)
Y (0.0000, 0.0000, 0.0000)

TiNbIn2 at its PBEsol-relaxed geometry, computed with meta-GGA SCAN.

Results
DFT total energy	-115.8	eV/cell
formation energy	0.04	eV/atom
crystal system	cubic

abc: 4.7282 4.7282 4.7282
angles: 60.00 60.00 60.00
Sites, in units of the cell vectors:
In (0.7500, 0.7500, 0.7500)
In (0.2500, 0.2500, 0.2500)
Ti (0.0000, 0.0000, 0.0000)
Nb (0.5000, 0.5000, 0.5000)

BeSbPtI2 at its PBEsol-relaxed geometry, computed with meta-GGA SCAN.

Results
DFT total energy	-180.4	eV/cell
energy relative to the elements, uncorrected	975.4	meV per atom
crystal system	tetragonal

abc: 4.8649 4.9176 4.9176
angles: 90.00 90.00 90.00
Sites, in units of the cell vectors:
Be (0.0000, 0.0000, 0.0000)
Sb (0.5000, 0.0000, 0.0000)
I (0.0000, 0.5000, 0.0000)
I (0.0000, 0.0000, 0.5000)
Pt (0.5000, 0.5000, 0.5000)

ReSiSb at its PBEsol-relaxed geometry, computed with meta-GGA SCAN.

Results
DFT total energy	-116.9	eV/cell
energy relative to the elements, uncorrected	476.9	meV per atom
crystal system	cubic

abc: 4.3164 4.3164 4.3164
angles: 60.00 60.00 60.00
Sites, in units of the cell vectors:
Sb (0.0000, 0.0000, 0.0000)
Si (0.5000, 0.5000, 0.5000)
Re (0.7500, 0.7500, 0.7500)

CoSb2IO at its PBEsol-relaxed geometry, computed with meta-GGA SCAN.

Results
DFT total energy	-131.2	eV/cell
energy relative to the elements, uncorrected	726.3	meV per atom
crystal system	tetragonal

abc: 4.7225 4.7225 5.2249
angles: 90.00 90.00 90.00
Last column: magnetic moment on the atom in μB.
Sites, in units of the cell vectors:
Sb (0.5000, 0.0000, 0.0000)  0.03
Sb (0.0000, 0.5000, 0.0000)  0.03
I (0.0000, 0.0000, 0.5000)  0.10
Co (0.0000, 0.0000, 0.0000)  0.17
O (0.5000, 0.5000, 0.5000)  1.07